PrTmMgRu: optimized geometry, PBE-GGA.

abc: 3.4348 3.4348 8.5712
angles: 90.00 90.00 90.00
Space group P4mm (No. 99)
Asymmetric unit:
Pr1 0.0000 0.0000 0.0000
Tm1 0.0000 0.0000 0.6053
Mg1 0.5000 0.5000 0.3143
Ru1 0.5000 0.5000 0.7857

Calculated values
The distance to the lowest polymorph of the same formula is 0.000 eV per atom. For the formation enthalpy at 0 K, the calculation gives -0.217 eV/atom. Its total moment is 0.000 μB per cell. The calculated density is 7.1 g/cm3.



PrYMgRu: optimized geometry, PBE-GGA.

abc: 7.2573 7.2573 7.2573
angles: 90.00 90.00 90.00
Space group F-43m (No. 216)
Asymmetric unit:
Pr1 0.0000 0.0000 0.0000
Y1 0.0000 0.0000 0.5000
Mg1 0.2500 0.2500 0.7500
Ru1 0.2500 0.2500 0.2500

Calculated values
The distance to the lowest polymorph of the same formula is 0.075 eV per atom. For the formation enthalpy at 0 K, the calculation gives -0.105 eV/atom. Its total moment is 0.000 μB per cell. The calculated density is 6.2 g/cm3.